(1)
PmZn6Au2 PBE-GGA relaxed; relative energy among the computed polymorphs = 367.5 kJ/mol of formula units; DOS(E_F) = 5.65 states/eV/f.u.; calculated density = 7.41 g/cm3; DFT formation energy = 1.19 eV/f.u.; VASP energy = -1.97 eV per atom
1.0
0.0000 5.9321 5.9321
5.9321 0.0000 5.9321
5.9321 5.9321 0.0000
Pm Zn Au
2 12 4
direct
0.1250 0.1250 0.1250 Pm
0.8750 0.8750 0.8750 Pm
0.1269 0.1269 0.6231 Zn
0.1269 0.6231 0.1269 Zn
0.1269 0.6231 0.6231 Zn
0.3769 0.3769 0.8731 Zn
0.3769 0.8731 0.3769 Zn
0.3769 0.8731 0.8731 Zn
0.6231 0.1269 0.1269 Zn
0.6231 0.1269 0.6231 Zn
0.6231 0.6231 0.1269 Zn
0.8731 0.3769 0.3769 Zn
0.8731 0.3769 0.8731 Zn
0.8731 0.8731 0.3769 Zn
0.0000 0.5000 0.5000 Au
0.5000 0.0000 0.5000 Au
0.5000 0.5000 0.0000 Au
0.5000 0.5000 0.5000 Au



(2)
Li2Y2ThMg5 PBE-GGA relaxed; DOS(E_F) = 8.59 states/eV/f.u.; calculated density = 3.63 g/cm3; DFT formation energy = 0.19 eV/f.u.; VASP energy = -3.20 eV per atom
1.0
10.5626 0.0000 0.0000
0.0000 10.5626 0.0000
0.0000 0.0000 4.4730
Li Y Th Mg
4 4 2 10
direct
0.1120 0.3880 0.0000 Li
0.3880 0.8880 0.0000 Li
0.6120 0.1120 0.0000 Li
0.8880 0.6120 0.0000 Li
0.1824 0.6824 0.0000 Y
0.3176 0.1824 0.0000 Y
0.6824 0.8176 0.0000 Y
0.8176 0.3176 0.0000 Y
0.0000 0.0000 0.0000 Th
0.5000 0.5000 0.0000 Th
0.0000 0.5000 0.5000 Mg
0.0603 0.2188 0.5000 Mg
0.2188 0.9397 0.5000 Mg
0.2812 0.4397 0.5000 Mg
0.4397 0.7188 0.5000 Mg
0.5000 0.0000 0.5000 Mg
0.5603 0.2812 0.5000 Mg
0.7188 0.5603 0.5000 Mg
0.7812 0.0603 0.5000 Mg
0.9397 0.7812 0.5000 Mg



(3)
BaZrAlTe2 PBE-GGA relaxed; DOS(E_F) = 4.30 states/eV/f.u.; calculated density = 5.08 g/cm3; ΔE_f (raw) = -0.5 eV per formula unit; VASP energy = -4.20 eV per atom
1.0
5.6921 0.0000 0.0000
0.0000 5.6921 0.0000
0.0000 0.0000 5.1507
Ba Zr Al Te
1 1 1 2
direct
0.0000 0.0000 0.0000 Ba
0.5000 0.5000 0.0000 Zr
0.5000 0.5000 0.5000 Al
0.0000 0.5000 0.5000 Te
0.5000 0.0000 0.5000 Te



(4)
Ac2AsC PBE-GGA relaxed; relative energy among the computed polymorphs = 169.2 kJ/mol of formula units; DOS(E_F) = 2.62 states/eV/f.u.; calculated density = 8.92 g/cm3; DFT formation energy = 0.30 eV/f.u.; VASP energy = -5.45 eV per atom
1.0
5.2012 0.0000 0.0000
0.0000 5.2012 0.0000
0.0000 0.0000 3.7215
Ac As C
2 1 1
direct
0.0000 0.5000 0.0000 Ac
0.5000 0.0000 0.0000 Ac
0.0000 0.0000 0.5000 As
0.5000 0.5000 0.5000 C



(5)
ScSnF2 PBE-GGA relaxed; relative energy among the computed polymorphs = 47.9 kJ/mol of formula units; DOS(E_F) = 2.03 states/eV/f.u.; calculated density = 3.88 g/cm3; ΔE_f (raw) = -8.5 eV per formula unit; VASP energy = -5.65 eV per atom
1.0
-2.8122 2.8122 5.4609
2.8122 -2.8122 5.4609
2.8122 2.8122 -5.4609
Sc Sn F
2 2 4
direct
0.0000 0.0000 0.0000 Sc
0.7500 0.2500 0.5000 Sc
0.2500 0.7500 0.5000 Sn
0.5000 0.5000 0.0000 Sn
0.3750 0.1810 0.3060 F
0.8190 0.1250 0.1940 F
0.8750 0.0690 0.6940 F
0.9310 0.6250 0.8060 F



(6)
ErHf2Fe9 PBE-GGA relaxed; DOS(E_F) = 9.84 states/eV/f.u.; calculated density = 10.09 g/cm3; DFT formation energy = -2.73 eV/f.u.; VASP energy = -8.61 eV per atom
1.0
2.4812 1.4325 7.9252
-2.4812 1.4325 7.9252
0.0000 -2.8650 7.9252
Er Hf Fe
1 2 9
direct
0.0000 0.0000 0.0000 Er
0.1426 0.1426 0.1426 Hf
0.8574 0.8574 0.8574 Hf
0.0817 0.5863 0.5863 Fe
0.3330 0.3330 0.3330 Fe
0.4137 0.4137 0.9183 Fe
0.4137 0.9183 0.4137 Fe
0.5000 0.5000 0.5000 Fe
0.5863 0.0817 0.5863 Fe
0.5863 0.5863 0.0817 Fe
0.6670 0.6670 0.6670 Fe
0.9183 0.4137 0.4137 Fe



(7)
Hf3TaTe PBE-GGA relaxed; relative energy among the computed polymorphs = 110.1 kJ/mol of formula units; DOS(E_F) = 3.96 states/eV/f.u.; calculated density = 10.53 g/cm3; ΔE_f (raw) = 5.8 eV per formula unit; VASP energy = -7.82 eV per atom
1.0
5.1056 0.0000 0.0000
0.0000 5.1056 0.0000
0.0000 0.0000 5.1056
Hf Ta Te
3 1 1
direct
0.0000 0.0000 0.5000 Hf
0.0000 0.5000 0.0000 Hf
0.5000 0.0000 0.0000 Hf
0.5000 0.5000 0.5000 Ta
0.0000 0.0000 0.0000 Te



(8)
TmMg2Hg3 PBE-GGA relaxed; relative energy among the computed polymorphs = 21.8 kJ/mol of formula units; DOS(E_F) = 2.02 states/eV/f.u.; calculated density = 10.14 g/cm3; DFT formation energy = -1.92 eV/f.u.; VASP energy = -1.75 eV per atom
1.0
3.6119 0.0000 0.0000
0.0000 3.6119 0.0000
0.0000 0.0000 10.2874
Tm Mg Hg
1 2 3
direct
0.0000 0.0000 0.0000 Tm
0.0000 0.0000 0.3414 Mg
0.0000 0.0000 0.6586 Mg
0.5000 0.5000 0.1808 Hg
0.5000 0.5000 0.5000 Hg
0.5000 0.5000 0.8192 Hg



(9)
SmPa PBE-GGA relaxed; relative energy among the computed polymorphs = 0.0 kJ/mol of formula units; DOS(E_F) = 2.66 states/eV/f.u.; calculated density = 10.90 g/cm3; DFT formation energy = 0.25 eV/f.u.; VASP energy = -6.98 eV per atom
1.0
3.4341 0.0000 0.0000
0.0000 3.4341 0.0000
0.0000 0.0000 9.8538
Sm Pa
2 2
direct
0.2500 0.2500 0.1512 Sm
0.7500 0.7500 0.8488 Sm
0.2500 0.2500 0.6087 Pa
0.7500 0.7500 0.3913 Pa



(10)
CoRu PBE-GGA relaxed; DOS(E_F) = 2.24 states/eV/f.u.; calculated density = 10.84 g/cm3; DFT formation energy = 0.18 eV/f.u.; VASP energy = -8.10 eV per atom
1.0
4.5660 0.0000 0.0000
0.0000 4.1411 0.0000
0.0000 0.0000 5.1861
Co Ru
4 4
direct
0.0816 0.2500 0.1222 Co
0.4184 0.7500 0.6222 Co
0.5816 0.2500 0.3778 Co
0.9184 0.7500 0.8778 Co
0.0902 0.2500 0.6267 Ru
0.4098 0.7500 0.1267 Ru
0.5902 0.2500 0.8733 Ru
0.9098 0.7500 0.3733 Ru



(11)
VTeRu PBE-GGA relaxed; relative energy among the computed polymorphs = 60.4 kJ/mol of formula units; DOS(E_F) = 2.38 states/eV/f.u.; calculated density = 8.91 g/cm3; ΔE_f (raw) = 0.0 eV per formula unit; VASP energy = -7.18 eV per atom
1.0
-1.6086 2.7207 5.9552
1.6086 -2.7207 5.9552
1.6086 2.7207 -5.9552
V Te Ru
2 2 2
direct
0.2343 0.0000 0.2343 V
0.7657 0.0000 0.7657 V
0.1714 0.6714 0.5000 Te
0.8286 0.3286 0.5000 Te
0.3809 0.3809 0.0000 Ru
0.6191 0.6191 0.0000 Ru



(12)
YSnBi PBE-GGA relaxed; relative energy among the computed polymorphs = 0.0 kJ/mol of formula units; DOS(E_F) = 1.19 states/eV/f.u.; calculated density = 8.12 g/cm3; DFT formation energy = -1.81 eV/f.u.; VASP energy = -5.39 eV per atom
1.0
2.2884 -8.3058 0.0000
2.2884 8.3058 0.0000
0.0000 0.0000 4.4799
Y Sn Bi
2 2 2
direct
0.0976 0.9024 0.7500 Y
0.9024 0.0976 0.2500 Y
0.4391 0.5609 0.7500 Sn
0.5609 0.4391 0.2500 Sn
0.2504 0.7496 0.2500 Bi
0.7496 0.2504 0.7500 Bi



Repeat the eleventh record exactly.
VTeRu PBE-GGA relaxed; relative energy among the computed polymorphs = 60.4 kJ/mol of formula units; DOS(E_F) = 2.38 states/eV/f.u.; calculated density = 8.91 g/cm3; ΔE_f (raw) = 0.0 eV per formula unit; VASP energy = -7.18 eV per atom
1.0
-1.6086 2.7207 5.9552
1.6086 -2.7207 5.9552
1.6086 2.7207 -5.9552
V Te Ru
2 2 2
direct
0.2343 0.0000 0.2343 V
0.7657 0.0000 0.7657 V
0.1714 0.6714 0.5000 Te
0.8286 0.3286 0.5000 Te
0.3809 0.3809 0.0000 Ru
0.6191 0.6191 0.0000 Ru